# CrReIr2 PBE-GGA optimized geometry
data_CrReIr2
_cell_length_a 3.1863
_cell_length_b 3.1863
_cell_length_c 5.6429
_cell_angle_alpha 90.00
_cell_angle_beta 90.00
_cell_angle_gamma 90.00
_space_group_name_H-M_alt 'P 4 m m'
_space_group_IT_number 99
_space_group_name_Hall 'P 4 -2'
loop_
_atom_site_label
_atom_site_type_symbol
_atom_site_fract_x
_atom_site_fract_y
_atom_site_fract_z
Cr1 Cr 0.0000 0.0000 0.0000
Re1 Re 0.5000 0.5000 0.7354
Ir1 Ir 0.0000 0.0000 0.4739
Ir2 Ir 0.5000 0.5000 0.1937
# VASP energy: -39.0 eV per cell
# Polymorph energy (0 for the lowest one): 0.4654 eV/atom



# SrNiH3 PBE-GGA optimized geometry
data_SrNiH3
_cell_length_a 3.8523
_cell_length_b 3.8523
_cell_length_c 9.8002
_cell_angle_alpha 90.00
_cell_angle_beta 90.00
_cell_angle_gamma 120.00
_space_group_name_H-M_alt 'P 63/m m c'
_space_group_IT_number 194
_space_group_name_Hall '-P 6c 2c'
loop_
_atom_site_label
_atom_site_type_symbol
_atom_site_fract_x
_atom_site_fract_y
_atom_site_fract_z
Sr1 Sr 0.0000 0.0000 0.0000
Ni1 Ni 0.3333 0.6667 0.2500
H1 H 0.0000 0.0000 0.2500
H2 H 0.3333 0.6667 0.0909
# VASP energy: -36.7 eV per cell



Please write out number 1 again, unchanged.
# CrReIr2 PBE-GGA optimized geometry
data_CrReIr2
_cell_length_a 3.1863
_cell_length_b 3.1863
_cell_length_c 5.6429
_cell_angle_alpha 90.00
_cell_angle_beta 90.00
_cell_angle_gamma 90.00
_space_group_name_H-M_alt 'P 4 m m'
_space_group_IT_number 99
_space_group_name_Hall 'P 4 -2'
loop_
_atom_site_label
_atom_site_type_symbol
_atom_site_fract_x
_atom_site_fract_y
_atom_site_fract_z
Cr1 Cr 0.0000 0.0000 0.0000
Re1 Re 0.5000 0.5000 0.7354
Ir1 Ir 0.0000 0.0000 0.4739
Ir2 Ir 0.5000 0.5000 0.1937
# VASP energy: -39.0 eV per cell
# Polymorph energy (0 for the lowest one): 0.4654 eV/atom